[1]
! IrRuRh2 PBE relaxed; values from VASP
&SYSTEM
  ibrav = 0, nat = 8, ntyp = 3
/
ATOMIC_SPECIES
Rh 102.91 Rh.upf
Ir 192.22 Ir.upf
Ru 101.07 Ru.upf
ATOMIC_POSITIONS angstrom
Rh 0.000 1.920 5.805
Ir 0.000 1.920 1.891
Rh 1.920 0.000 1.889
Ru 1.920 1.920 0.000
Ir 1.920 0.000 5.804
Rh 1.920 1.920 3.847
Ru 0.000 0.000 0.000
Rh 0.000 0.000 3.847
CELL_PARAMETERS angstrom
3.840 0.000 0.000
0.000 3.840 0.000
0.000 0.000 7.694
! Energy of formation from the pure elements (eV per atom): -0.01
! SG: P4/nmm
! Offset from the most stable computed form (eV per atom): 0.000


[2]
! Nd2Ho2Rh3 PBE relaxed; values from VASP
&SYSTEM
  ibrav = 0, nat = 14, ntyp = 3
/
ATOMIC_SPECIES
Ho 164.93 Ho.upf
Rh 102.91 Rh.upf
Nd 144.24 Nd.upf
ATOMIC_POSITIONS angstrom
Ho 0.000 0.000 6.697
Rh -1.201 5.157 -2.072
Ho 0.982 3.078 -2.232
Rh 2.978 4.077 -0.441
Rh 5.596 1.539 2.072
Nd 4.005 0.781 -0.938
Rh 1.512 4.617 2.954
Rh -0.312 2.538 0.441
Ho -1.380 3.766 2.794
Rh 2.089 0.540 4.585
Ho 0.397 5.468 0.281
Nd 4.429 3.078 -3.451
Nd 2.228 2.297 1.576
Nd 0.000 0.000 2.813
CELL_PARAMETERS angstrom
7.108 0.000 -2.513
-3.554 6.156 -2.513
0.000 0.000 7.540
! Energy of formation from the pure elements (eV per atom): -0.70
! SG: I2_13
! Offset from the most stable computed form (eV per atom): 0.000


[3]
! Rb2Sm2PaTe6 PBE relaxed; values from VASP
&SYSTEM
  ibrav = 0, nat = 11, ntyp = 4
/
ATOMIC_SPECIES
Rb 85.47 Rb.upf
Sm 150.36 Sm.upf
Te 127.60 Te.upf
Pa 231.04 Pa.upf
ATOMIC_POSITIONS angstrom
Rb -4.428 -3.936 0.487
Sm -3.718 4.144 -0.332
Te -2.507 5.629 2.184
Sm -4.982 0.764 2.387
Te -6.193 -0.722 -0.128
Te -4.965 2.563 -2.771
Te -3.735 2.345 4.827
Te -2.359 1.525 0.799
Rb -1.923 2.761 -4.900
Pa -1.174 3.041 3.235
Te -6.341 3.382 1.256
CELL_PARAMETERS angstrom
-1.287 4.463 -6.270
-5.065 -5.638 1.856
-2.348 6.082 6.469
! SG: C2/m
! Formation energy without anion corrections (eV per atom): -1.25


| no. | total magnetic moment (μB per cell) | V (Å³/f.u.) |
| --- | --- | --- |
| 1 | 0.00 | 56.7 |
| 2 | 0.00 | 165.0 |
| 3 | 1.06 | 464.4 |